[1]
Here is a relaxed LiMgCl crystal from the Alexandria database. Energies are from GGA-PBE.

Cell and atoms, written as POSCAR:
```
LiMgCl
1.0
11.953 0.000 0.028
0.000 3.544 0.000
-1.022 0.000 5.978
Li Mg Cl
4 4 4
Direct
0.564 0.000 0.648 Li
0.826 0.000 0.736 Li
0.826 0.500 0.236 Li
0.564 0.500 0.148 Li
0.047 0.500 0.637 Mg
0.246 0.500 0.367 Mg
0.047 0.000 0.137 Mg
0.246 0.000 0.867 Mg
0.714 0.500 0.865 Cl
0.456 0.500 0.447 Cl
0.456 0.000 0.947 Cl
0.714 0.000 0.365 Cl
```

Calculated values
The calculation puts the energy above the most stable polymorph in this dataset at 0.0061 eV/atom. For the density of states at the Fermi level, the calculation gives 2.2 states/eV/cell.

[2]
Here is a relaxed LiMg2Cl crystal from the Alexandria database. Energies are from GGA-PBE.

Cell and atoms, written as POSCAR:
```
LiMg2Cl
1.0
-5.608 2.672 0.586
-6.180 -0.602 0.616
-1.460 0.297 4.601
Li Mg Cl
1 2 1
Direct
0.250 0.250 0.250 Li
0.468 0.468 0.532 Mg
0.032 0.032 0.968 Mg
0.750 0.750 0.750 Cl
```

Calculated values
The calculation puts the energy above the most stable polymorph in this dataset at 0.1432 eV/atom. For the density of states at the Fermi level, the calculation gives 0.8 states/eV/cell.

[3]
Here is a relaxed Li2MgCl crystal from the Alexandria database. Energies are from GGA-PBE.

Cell and atoms, written as POSCAR:
```
Li2MgCl
1.0
3.300 0.000 0.000
0.000 3.300 0.000
0.000 0.000 8.633
Mg Cl Li
1 1 2
Direct
0.000 0.000 0.468 Mg
0.500 0.500 0.947 Cl
0.500 0.500 0.224 Li
0.000 0.000 0.861 Li
```

Calculated values
The calculation puts the energy above the most stable polymorph in this dataset at 0.0876 eV/atom. For the density of states at the Fermi level, the calculation gives 1.6 states/eV/cell.

[4]
Here is a relaxed LiMg2Cl crystal from the Alexandria database. Energies are from GGA-PBE.

Cell and atoms, written as POSCAR:
```
LiMg2Cl
1.0
5.594 0.013 0.820
4.624 3.147 0.820
3.590 1.110 6.808
Mg Li Cl
2 1 1
Direct
0.815 0.815 0.810 Mg
0.008 0.008 0.985 Mg
0.181 0.181 0.224 Li
0.497 0.497 0.480 Cl
```

Calculated values
The calculation puts the energy above the most stable polymorph in this dataset at 0.1273 eV/atom. For the density of states at the Fermi level, the calculation gives 1.0 states/eV/cell.

[5]
Here is a relaxed LiMgCl crystal from the Alexandria database. Energies are from GGA-PBE.

Cell and atoms, written as POSCAR:
```
LiMgCl
1.0
-1.226 2.129 -2.341
-2.492 -2.196 -0.694
-6.486 4.860 7.782
Cl Mg Li
2 2 2
Direct
0.252 0.785 0.539 Cl
0.751 0.282 0.810 Cl
0.737 0.269 0.051 Mg
0.236 0.768 0.227 Mg
0.252 0.783 0.755 Li
0.752 0.285 0.472 Li
```

Calculated values
The calculation puts the energy above the most stable polymorph in this dataset at 0.0075 eV/atom. For the density of states at the Fermi level, the calculation gives 1.3 states/eV/cell.

[6]
Here is a relaxed Li2MgCl crystal from the Alexandria database. Energies are from GGA-PBE.

Cell and atoms, written as POSCAR:
```
Li2MgCl
1.0
-3.530 -4.324 -6.983
-1.874 -6.849 -5.432
-4.987 -5.975 -4.399
Mg Li Cl
1 2 1
Direct
0.493 0.493 0.493 Mg
0.249 0.249 0.249 Li
0.020 0.020 0.020 Li
0.739 0.739 0.739 Cl
```

Calculated values
The calculation puts the energy above the most stable polymorph in this dataset at 0.1454 eV/atom. For the density of states at the Fermi level, the calculation gives 0.8 states/eV/cell.

[7]
Here is a relaxed LiMgCl crystal from the Alexandria database. Energies are from GGA-PBE.

Cell and atoms, written as POSCAR:
```
LiMgCl
1.0
11.522 0.000 0.021
0.000 3.504 0.000
-0.009 0.000 5.986
Li Mg Cl
4 4 4
Direct
0.568 0.500 0.381 Li
0.830 0.500 0.050 Li
0.568 0.000 0.881 Li
0.830 0.000 0.550 Li
0.256 0.500 0.382 Mg
0.051 0.000 0.220 Mg
0.256 0.000 0.882 Mg
0.051 0.500 0.720 Mg
0.707 0.000 0.214 Cl
0.442 0.000 0.548 Cl
0.707 0.500 0.714 Cl
0.442 0.500 0.048 Cl
```

Calculated values
The calculation puts the energy above the most stable polymorph in this dataset at 0.0208 eV/atom. For the density of states at the Fermi level, the calculation gives 2.2 states/eV/cell.

[8]
Here is a relaxed LiMgCl crystal from the Alexandria database. Energies are from GGA-PBE.

Cell and atoms, written as POSCAR:
```
LiMgCl
1.0
-4.453 2.032 5.513
-5.045 -2.609 4.700
6.463 -0.205 -3.540
Cl Mg Li
1 1 1
Direct
0.914 0.914 0.000 Cl
0.701 0.701 0.000 Mg
0.385 0.385 0.000 Li
```

Calculated values
The calculation puts the energy above the most stable polymorph in this dataset at 0.1709 eV/atom. For the density of states at the Fermi level, the calculation gives 0.6 states/eV/cell.

[9]
Here is a relaxed Li2MgCl crystal from the Alexandria database. Energies are from GGA-PBE.

Cell and atoms, written as POSCAR:
```
Li2MgCl
1.0
-2.958 0.518 1.353
-0.577 -3.250 -0.018
3.115 -2.236 7.664
Cl Li Mg
1 2 1
Direct
0.500 0.459 0.944 Cl
0.000 0.004 0.851 Li
0.500 0.327 0.227 Li
0.000 0.710 0.478 Mg
```

Calculated values
The calculation puts the energy above the most stable polymorph in this dataset at 0.0772 eV/atom. For the density of states at the Fermi level, the calculation gives 1.6 states/eV/cell.

[10]
Here is a relaxed LiMgCl crystal from the Alexandria database. Energies are from GGA-PBE.

Cell and atoms, written as POSCAR:
```
LiMgCl
1.0
-3.055 0.171 -1.967
0.343 -7.065 -1.146
-2.748 -0.814 4.198
Cl Mg Li
2 2 2
Direct
0.500 0.606 0.121 Cl
0.000 0.394 0.621 Cl
0.500 0.966 0.095 Mg
0.000 0.034 0.595 Mg
0.500 0.621 0.620 Li
0.000 0.379 0.120 Li
```

Calculated values
The calculation puts the energy above the most stable polymorph in this dataset at 0.0612 eV/atom. For the density of states at the Fermi level, the calculation gives 0.5 states/eV/cell.

[11]
Here is a relaxed Li2MgCl crystal from the Alexandria database. Energies are from GGA-PBE.

Cell and atoms, written as POSCAR:
```
Li2MgCl
1.0
3.780 0.000 0.000
0.000 6.357 0.000
0.000 0.000 3.790
Mg Li Cl
1 2 1
Direct
0.500 0.000 0.500 Mg
0.500 0.500 0.000 Li
0.000 0.000 0.000 Li
0.000 0.500 0.500 Cl
```

Calculated values
The calculation puts the energy above the most stable polymorph in this dataset at 0.2906 eV/atom. For the density of states at the Fermi level, the calculation gives 0.8 states/eV/cell.

[12]
Here is a relaxed LiMgCl crystal from the Alexandria database. Energies are from GGA-PBE.

Cell and atoms, written as POSCAR:
```
LiMgCl
1.0
-1.875 2.732 1.233
-2.368 1.598 -2.081
-8.278 -7.340 3.749
Mg Cl Li
2 2 2
Direct
0.604 0.971 0.454 Mg
0.265 0.638 0.652 Mg
0.601 0.964 0.241 Cl
0.267 0.633 0.983 Cl
0.600 0.967 0.873 Li
0.936 0.297 0.133 Li
```

Calculated values
The calculation puts the energy above the most stable polymorph in this dataset at 0.0000 eV/atom. For the density of states at the Fermi level, the calculation gives 1.2 states/eV/cell.

[13]
Here is a relaxed LiMgCl crystal from the Alexandria database. Energies are from GGA-PBE.

Cell and atoms, written as POSCAR:
```
LiMgCl
1.0
6.722 -0.010 0.006
5.452 3.175 0.004
1.270 -1.181 2.957
Li Cl Mg
1 1 1
Direct
0.355 0.355 0.645 Li
0.986 0.986 0.014 Cl
0.658 0.658 0.342 Mg
```

Calculated values
The calculation puts the energy above the most stable polymorph in this dataset at 0.1959 eV/atom. For the density of states at the Fermi level, the calculation gives 0.2 states/eV/cell.

[14]
Here is a relaxed Li3MgCl crystal from the Alexandria database. Energies are from GGA-PBE.

Cell and atoms, written as POSCAR:
```
Li3MgCl
1.0
-0.605 -4.376 1.790
2.251 -1.854 -3.771
4.158 0.367 2.302
Li Mg Cl
3 1 1
Direct
0.000 0.000 0.500 Li
0.000 0.500 0.000 Li
0.500 0.000 0.000 Li
0.500 0.500 0.500 Mg
0.000 0.000 0.000 Cl
```

Calculated values
The calculation puts the energy above the most stable polymorph in this dataset at 0.0000 eV/atom. For the density of states at the Fermi level, the calculation gives 1.8 states/eV/cell.

[15]
Here is a relaxed Li2MgCl2 crystal from the Alexandria database. Energies are from GGA-PBE.

Cell and atoms, written as POSCAR:
```
Li2MgCl2
1.0
-0.548 -5.092 -6.257
7.228 -3.095 1.886
-1.494 -2.279 1.985
Li Cl Mg
4 4 2
Direct
0.385 0.885 0.000 Li
0.115 0.385 0.000 Li
0.885 0.615 0.000 Li
0.615 0.115 0.000 Li
0.638 0.862 0.500 Cl
0.362 0.138 0.500 Cl
0.138 0.638 0.500 Cl
0.862 0.362 0.500 Cl
0.000 0.000 0.000 Mg
0.500 0.500 0.000 Mg
```

Calculated values
The calculation puts the energy above the most stable polymorph in this dataset at 0.1573 eV/atom. For the density of states at the Fermi level, the calculation gives 0.0 states/eV/cell.

[16]
Here is a relaxed LiMg2Cl crystal from the Alexandria database. Energies are from GGA-PBE.

Cell and atoms, written as POSCAR:
```
LiMg2Cl
1.0
3.429 0.000 0.000
0.000 3.291 0.000
0.000 0.000 8.984
Cl Li Mg
1 1 2
Direct
0.000 0.000 0.649 Cl
0.500 0.500 0.687 Li
0.500 0.500 0.194 Mg
0.000 0.000 0.971 Mg
```

Calculated values
The calculation puts the energy above the most stable polymorph in this dataset at 0.0000 eV/atom. For the density of states at the Fermi level, the calculation gives 1.0 states/eV/cell.

[17]
Here is a relaxed LiMg2Cl crystal from the Alexandria database. Energies are from GGA-PBE.

Cell and atoms, written as POSCAR:
```
LiMg2Cl
1.0
5.341 0.003 0.000
-2.251 4.843 0.000
0.000 0.000 3.385
Mg Li Cl
2 1 1
Direct
0.000 0.000 0.000 Mg
0.500 0.500 0.000 Mg
0.000 0.500 0.500 Li
0.500 0.000 0.500 Cl
```

Calculated values
The calculation puts the energy above the most stable polymorph in this dataset at 0.2197 eV/atom. For the density of states at the Fermi level, the calculation gives 0.6 states/eV/cell.

[18]
Here is a relaxed Li2MgCl crystal from the Alexandria database. Energies are from GGA-PBE.

Cell and atoms, written as POSCAR:
```
Li2MgCl
1.0
-1.877 -0.289 2.679
2.048 -2.334 1.183
5.137 4.846 4.121
Cl Mg Li
1 1 2
Direct
0.500 0.750 0.750 Cl
0.500 0.250 0.250 Mg
0.000 0.865 0.950 Li
0.000 0.635 0.550 Li
```

Calculated values
The calculation puts the energy above the most stable polymorph in this dataset at 0.0887 eV/atom. For the density of states at the Fermi level, the calculation gives 1.3 states/eV/cell.

[19]
Here is a relaxed Li2MgCl4 crystal from the Alexandria database. Energies are from GGA-PBE.

Cell and atoms, written as POSCAR:
```
Li2MgCl4
1.0
4.990 0.000 0.000
0.000 4.990 0.000
2.495 2.495 6.484
Cl Mg Li
4 1 2
Direct
0.000 0.500 0.000 Cl
0.187 0.187 0.625 Cl
0.500 0.000 0.000 Cl
0.813 0.813 0.375 Cl
0.000 0.000 0.000 Mg
0.638 0.638 0.724 Li
0.362 0.362 0.276 Li
```

Calculated values
For the density of states at the Fermi level, the calculation gives 0.0 states/eV/cell.

[20]
Here is a relaxed Li2MgCl2 crystal from the Alexandria database. Energies are from GGA-PBE.

Cell and atoms, written as POSCAR:
```
Li2MgCl2
1.0
4.864 0.000 0.000
0.000 4.864 0.000
2.432 2.432 7.429
Mg Cl Li
1 2 2
Direct
0.000 0.000 0.000 Mg
0.750 0.250 0.500 Cl
0.250 0.750 0.500 Cl
0.250 0.250 0.499 Li
0.750 0.750 0.501 Li
```

Calculated values
The calculation puts the energy above the most stable polymorph in this dataset at 0.0000 eV/atom. For the density of states at the Fermi level, the calculation gives 0.0 states/eV/cell.

So what do the calculations give for final energy? Going down the list: -33.73, -8.88, -10.13, -8.94, -16.86, -9.90, -33.56, -7.94, -10.17, -16.54, -9.32, -16.90, -7.86, -11.67, -27.53, -9.45, -8.57, -10.12, -24.27, -14.55 eV for the cell shown.
So what do the calculations give for theoretical density? Going down the list: 1.75, 1.71, 1.30, 1.38, 1.71, 1.40, 1.83, 1.41, 1.34, 1.67, 1.34, 1.75, 1.75, 1.24, 1.64, 1.49, 1.73, 1.39, 1.85, 1.03 g/cm³.